1.
## ScTeRu2 (GGA-PBE)

Data for a relaxed ScTeRu2 crystal.

abc: 5.0431 5.0431 4.5442
angles: 74.95 74.95 38.06
Closest atoms and distances in Å follow each position.
Element x y z (fractional)
Ru 0.0073 0.0073 0.9319  3 Te 2.71-2.74, 4 Sc 2.79-2.82
Ru 0.2455 0.2455 0.3218  3 Sc 2.67-2.75, 4 Te 2.75-2.86
Te 0.7420 0.7420 0.8090  7 Ru 2.71-2.86
Sc 0.5052 0.5052 0.4373  7 Ru 2.67-2.82

Output
- raw formation energy (eV per formula unit) = -0.95


2.
## Mg8W (GGA-PBE)

Data for a relaxed Mg8W crystal.

abc: 7.8422 7.8422 7.8422
angles: 92.38 92.38 156.50
Closest atoms and distances in Å follow each position.
Element x y z (fractional)
W 0.0000 0.0000 0.0000  8 Mg 2.88, 2 W 3.19
Mg 0.6564 0.3436 0.0000  2 W 2.88, 6 Mg 2.99-3.19
Mg 0.3436 0.3436 0.6872  2 W 2.88, 6 Mg 2.99-3.19
Mg 0.0000 0.3294 0.3294  10 Mg 2.99-3.19
Mg 0.0000 0.6706 0.6706  10 Mg 2.99-3.19
Mg 0.3294 0.0000 0.3294  10 Mg 2.99-3.19
Mg 0.3436 0.6564 0.0000  2 W 2.88, 6 Mg 2.99-3.19
Mg 0.6706 0.0000 0.6706  10 Mg 2.99-3.19
Mg 0.6564 0.6564 0.3128  2 W 2.88, 6 Mg 2.99-3.19

Output
- formation enthalpy at 0 K (eV/f.u.) = 2.1
- relative energy among the computed polymorphs (kJ/mol of atoms) = 0.0


3.
## TbMg2Zn6 (GGA-PBE)

Data for a relaxed TbMg2Zn6 crystal.

abc: 3.1889 7.7760 7.7760
angles: 120.00 90.00 90.00
Closest atoms and distances in Å follow each position.
Element x y z (fractional)
Mg 0.0000 0.6667 0.3333  12 Zn 3.03, 2 Mg 3.19
Mg 0.0000 0.3333 0.6667  12 Zn 3.03, 2 Mg 3.19
Tb 0.0000 0.0000 0.0000  12 Zn 3.07, 2 Tb 3.19
Zn 0.5000 0.3379 0.3379  3 Zn 2.52-2.63
Zn 0.5000 0.6621 0.6621  3 Zn 2.52-2.63
Zn 0.5000 0.0000 0.3379  3 Zn 2.52-2.63
Zn 0.5000 0.6621 0.0000  3 Zn 2.52-2.63
Zn 0.5000 0.3379 0.0000  3 Zn 2.52-2.63
Zn 0.5000 0.0000 0.6621  3 Zn 2.52-2.63

Output
- formation enthalpy at 0 K (eV/f.u.) = -1.4
- relative energy among the computed polymorphs (kJ/mol of atoms) = 0.0


Number 1: volume 17.1 Å³ per atom, uncorrected energy -7.243 eV/atom. Number 2: volume 20.9 Å³ per atom, uncorrected energy -2.622 eV/atom. Number 3: volume 18.6 Å³ per atom, uncorrected energy -1.875 eV/atom.